Here is a relaxed structure of SiH6I2 from Alexandria. Energies are from GGA-PBE.

abc: 3.872 3.872 9.048
angles: 97.46 97.46 74.93
Atoms (fractional coordinates):
Si  0.000  0.000  0.000
H  0.109  0.608  0.906
H  0.223  0.223  0.908
H  0.392  0.891  0.094
H  0.608  0.109  0.906
H  0.777  0.777  0.092
H  0.891  0.392  0.094
I  0.371  0.371  0.365
I  0.629  0.629  0.635

Space group: No. 12
D(E_F) in states/eV/cell: 0.93
DFT total energy in eV per atom: -2.74